# 1
Here is crystalline Ca2PmCd3 at its relaxed geometry from Alexandria via LeMat-Bulk. Energies are from GGA-PBE.

relative energy among the computed polymorphs = 19 meV per atom
energy relative to the elements = -0.344 eV/atom
magnetization = 0.304 μB/cell

abc: 3.8097 3.8097 11.6640
angles: 90.00 90.00 90.00
Last column: nearest neighbours and their distance in Å.
Fractional positions:
Cd  0.0000  0.0000  0.3343  4 Pm 3.32, 4 Ca 3.34
Cd  0.0000  0.0000  0.0000  8 Ca 3.31
Cd  0.0000  0.0000  0.6657  4 Pm 3.32, 4 Ca 3.34
Ca  0.5000  0.5000  0.8347  8 Cd 3.31-3.34
Ca  0.5000  0.5000  0.1653  8 Cd 3.31-3.34
Pm  0.5000  0.5000  0.5000  8 Cd 3.32



# 2
Here is crystalline Rb2TlPCl6 at its relaxed geometry from Alexandria via LeMat-Bulk. Energies are from GGA-PBE.

relative energy among the computed polymorphs = 0 meV per atom
magnetization = 0.000 μB/cell

abc: 7.5195 7.8008 10.8151
angles: 90.00 90.43 90.00
Last column: nearest neighbours and their distance in Å.
Fractional positions:
Cl  0.8296  0.7614  0.9587  1 P 2.45
Cl  0.5760  0.0180  0.2818  1 P 2.44
Cl  0.7357  0.3259  0.9615  1 P 2.44
Cl  0.2643  0.6741  0.0385  1 P 2.44
Cl  0.2357  0.1741  0.4615  1 P 2.44
Cl  0.1704  0.2386  0.0413  1 P 2.45
Cl  0.7643  0.8259  0.5385  1 P 2.44
Cl  0.9240  0.5180  0.2182  1 P 2.44
Cl  0.6704  0.2614  0.5413  1 P 2.45
Cl  0.4240  0.9820  0.7182  1 P 2.44
Cl  0.3296  0.7386  0.4587  1 P 2.45
Cl  0.0760  0.4820  0.7818  1 P 2.44
Rb  0.9834  0.0605  0.7518  7 Cl 3.37-3.69
Rb  0.0166  0.9395  0.2482  7 Cl 3.37-3.69
Rb  0.5166  0.5605  0.7482  7 Cl 3.37-3.69
Rb  0.4834  0.4395  0.2518  7 Cl 3.37-3.69
P  0.0000  0.5000  0.0000  6 Cl 2.44-2.45
P  0.5000  0.0000  0.5000  6 Cl 2.44-2.45
Tl  0.5000  0.0000  0.0000  6 Cl 3.10-3.13
Tl  0.0000  0.5000  0.5000  6 Cl 3.10-3.13



# 3
Here is crystalline MnAl3Tl at its relaxed geometry from Alexandria via LeMat-Bulk. Energies are from GGA-PBE.

relative energy among the computed polymorphs = 0 meV per atom
energy relative to the elements = 0.225 eV/atom
magnetization = 0.548 μB/cell

abc: 4.6987 4.6987 4.6987
angles: 90.00 90.00 90.00
Last column: nearest neighbours and their distance in Å.
Fractional positions:
Al  0.0000  0.5000  0.0000  2 Mn 2.35
Al  0.5000  0.0000  0.0000  2 Mn 2.35
Al  0.0000  0.0000  0.5000  2 Mn 2.35
Tl  0.5000  0.5000  0.5000  12 Al 3.32
Mn  0.0000  0.0000  0.0000  6 Al 2.35



# 4
Here is crystalline LiSc5Cu4 at its relaxed geometry from Alexandria via LeMat-Bulk. Energies are from GGA-PBE.

energy relative to the elements = -0.190 eV/atom
magnetization = 0.000 μB/cell

abc: 3.2592 3.2592 16.9925
angles: 90.00 90.00 90.00
Last column: nearest neighbours and their distance in Å.
Fractional positions:
Cu  0.0000  0.0000  0.4043  8 Sc 2.82-2.83
Cu  0.0000  0.0000  0.5957  8 Sc 2.82-2.83
Cu  0.0000  0.0000  0.7917  8 Sc 2.78-2.85
Cu  0.0000  0.0000  0.2083  8 Sc 2.78-2.85
Li  0.0000  0.0000  0.0000  8 Sc 3.04, 4 Li 3.26
Sc  0.5000  0.5000  0.5000  8 Cu 2.82
Sc  0.5000  0.5000  0.6925  8 Cu 2.83-2.85
Sc  0.5000  0.5000  0.1169  4 Cu 2.78, 4 Li 3.04
Sc  0.5000  0.5000  0.8831  4 Cu 2.78, 4 Li 3.04
Sc  0.5000  0.5000  0.3075  8 Cu 2.83-2.85



# 5
Here is crystalline Sm6Ho5Sc at its relaxed geometry from Alexandria via LeMat-Bulk. Energies are from GGA-PBE.

energy relative to the elements = 0.026 eV/atom
magnetization = 0.000 μB/cell

abc: 5.0434 9.9868 9.4069
angles: 122.06 105.55 90.00
Last column: nearest neighbours and their distance in Å.
Fractional positions:
Sm  0.1657  0.9179  0.3314  1 Sc 3.52, 7 Ho 3.53-3.59, 4 Sm 3.56-3.59
Sm  0.5000  0.2461  0.0000  6 Ho 3.51-3.58, 2 Sc 3.52, 4 Sm 3.56
Sm  0.5000  0.7539  0.0000  6 Ho 3.51-3.58, 2 Sc 3.52, 4 Sm 3.56
Sm  0.1657  0.4135  0.3314  1 Sc 3.52, 7 Ho 3.53-3.59, 4 Sm 3.56-3.59
Sm  0.8343  0.0821  0.6686  1 Sc 3.52, 7 Ho 3.53-3.59, 4 Sm 3.56-3.59
Sm  0.8343  0.5865  0.6686  1 Sc 3.52, 7 Ho 3.53-3.59, 4 Sm 3.56-3.59
Ho  0.3347  0.8346  0.6693  8 Sm 3.51-3.59, 2 Sc 3.55, 2 Ho 3.59
Ho  0.6653  0.1654  0.3307  8 Sm 3.51-3.59, 2 Sc 3.55, 2 Ho 3.59
Ho  0.6660  0.6660  0.3320  8 Sm 3.55-3.57, 4 Ho 3.56-3.59
Ho  0.0000  0.5000  0.0000  8 Sm 3.55-3.58, 4 Ho 3.56
Ho  0.3340  0.3340  0.6680  8 Sm 3.55-3.57, 4 Ho 3.56-3.59
Sc  0.0000  0.0000  0.0000  8 Sm 3.52, 4 Ho 3.55



# 6
Here is crystalline Sc2TiSi4Pt3 at its relaxed geometry from Alexandria via LeMat-Bulk. Energies are from GGA-PBE.

energy = -6.9534 eV/atom
magnetization = 0.000 μB/cell

abc: 3.9399 3.9399 10.7717
angles: 90.00 90.00 90.00
Last column: nearest neighbours and their distance in Å.
Fractional positions:
Ti  0.5000  0.5000  0.5000  4 Si 2.53, 4 Pt 2.79
Si  0.0000  0.0000  0.0000  4 Pt 2.43
Si  0.0000  0.5000  0.3520  3 Pt 2.37-2.53, 2 Ti 2.53
Si  0.5000  0.5000  0.0000  4 Pt 2.43
Si  0.5000  0.0000  0.6480  3 Pt 2.37-2.53, 2 Ti 2.53
Sc  0.0000  0.5000  0.7392  4 Si 2.95, 6 Pt 3.11-3.24, 2 Ti 3.24
Sc  0.5000  0.0000  0.2608  4 Si 2.95, 6 Pt 3.11-3.24, 2 Ti 3.24
Pt  0.0000  0.5000  0.1319  5 Si 2.37-2.43
Pt  0.0000  0.0000  0.5000  4 Si 2.53, 4 Ti 2.79
Pt  0.5000  0.0000  0.8681  5 Si 2.37-2.43



# 7
Here is crystalline PaBeNi at its relaxed geometry from Alexandria via LeMat-Bulk. Energies are from GGA-PBE.

relative energy among the computed polymorphs = 0 meV per atom
energy relative to the elements = -0.220 eV/atom
magnetization = 0.001 μB/cell

abc: 3.2484 4.0929 4.0929
angles: 120.00 90.00 90.00
Last column: nearest neighbours and their distance in Å.
Fractional positions:
Be  0.1667  0.0000  0.0000  3 Ni 2.36
Pa  0.6666  0.3333  0.6667  6 Ni 2.87, 6 Be 2.87
Ni  0.1667  0.6667  0.3333  3 Be 2.36



# 8
Here is crystalline Ta2InP at its relaxed geometry from Alexandria via LeMat-Bulk. Energies are from GGA-PBE.

relative energy among the computed polymorphs = 539 meV per atom
energy relative to the elements = 0.247 eV/atom
magnetization = 0.000 μB/cell

abc: 4.5595 4.5595 3.4047
angles: 90.00 90.00 98.28
Last column: nearest neighbours and their distance in Å.
Fractional positions:
Ta  0.5000  0.5000  0.0000  4 P 2.85, 4 In 2.85, 2 Ta 2.98
Ta  0.0000  0.0000  0.0000  4 In 2.85, 4 P 2.85, 2 Ta 2.98
P  0.0000  0.5000  0.5000  8 Ta 2.85, 2 In 2.98
In  0.5000  0.0000  0.5000  8 Ta 2.85, 2 P 2.98



# 9
Here is crystalline RbInSnBr4 at its relaxed geometry from Alexandria via LeMat-Bulk. Energies are from GGA-PBE.

energy = -3.0475 eV/atom
magnetization = 0.000 μB/cell

abc: 5.8563 5.8563 9.4671
angles: 108.02 108.02 90.00
Last column: nearest neighbours and their distance in Å.
Fractional positions:
Br  0.8310  0.8310  0.6621  1 Sn 2.80
Br  0.5029  0.0029  0.0057  2 Sn 2.93
Br  0.1833  0.1833  0.3666  1 In 2.88, 1 Sn 3.20
Br  0.0029  0.5029  0.0057  2 Sn 2.93
Rb  0.6319  0.6319  0.2639  5 Br 3.39-3.66
In  0.3523  0.3523  0.7047  1 Br 2.88
Sn  0.9956  0.9956  0.9913  5 Br 2.80-2.93



# 10
Here is crystalline Cd2Pb2Cl at its relaxed geometry from Alexandria via LeMat-Bulk. Energies are from GGA-PBE.

relative energy among the computed polymorphs = 0 meV per atom
magnetization = 0.000 μB/cell

abc: 8.6238 8.6238 3.9271
angles: 90.00 90.00 90.00
Last column: nearest neighbours and their distance in Å.
Fractional positions:
Cl  0.5000  0.5000  0.0000  4 Pb 3.14
Cl  0.0000  0.0000  0.0000  4 Pb 3.14
Cd  0.1189  0.6189  0.5000  1 Cd 2.90, 2 Pb 3.06
Cd  0.8811  0.3811  0.5000  1 Cd 2.90, 2 Pb 3.06
Cd  0.3811  0.1189  0.5000  1 Cd 2.90, 2 Pb 3.06
Cd  0.6189  0.8811  0.5000  1 Cd 2.90, 2 Pb 3.06
Pb  0.1885  0.3115  0.0000  6 Cd 3.06-3.35, 2 Cl 3.14
Pb  0.3115  0.8115  0.0000  6 Cd 3.06-3.35, 2 Cl 3.14
Pb  0.8115  0.6885  0.0000  6 Cd 3.06-3.35, 2 Cl 3.14
Pb  0.6885  0.1885  0.0000  6 Cd 3.06-3.35, 2 Cl 3.14



# 11
Here is crystalline CaPr2N2Cl2 at its relaxed geometry from Alexandria via LeMat-Bulk. Energies are from GGA-PBE.

energy = -5.9257 eV/atom
magnetization = 0.000 μB/cell

abc: 4.4528 4.4528 7.9543
angles: 106.25 106.25 90.00
Last column: nearest neighbours and their distance in Å.
Fractional positions:
Cl  0.1956  0.1956  0.3913  1 Ca 2.86, 1 Pr 2.95
Cl  0.8044  0.8044  0.6087  1 Ca 2.86, 1 Pr 2.95
Pr  0.6025  0.6025  0.2051  4 N 2.68, 1 Cl 2.95, 1 Pr 3.00
Pr  0.3975  0.3975  0.7949  4 N 2.68, 1 Cl 2.95, 1 Pr 3.00
Ca  0.0000  0.0000  0.0000  4 N 2.23
N  0.0000  0.5000  0.0000  2 Ca 2.23
N  0.5000  0.0000  0.0000  2 Ca 2.23



# 12
Here is crystalline Rb3Np2PaTe6 at its relaxed geometry from Alexandria via LeMat-Bulk. Energies are from GGA-PBE.

energy = -5.6620 eV/atom
magnetization = 10.001 μB/cell

abc: 7.8715 7.8715 9.0132
angles: 98.37 98.37 120.00
Last column: nearest neighbours and their distance in Å.
Fractional positions:
Np  0.6666  0.3334  0.0000  6 Te 3.17
Np  0.3334  0.6666  0.0000  6 Te 3.17
Te  0.9325  0.6040  0.7974  1 Pa 3.12, 2 Np 3.17
Te  0.3960  0.0675  0.2026  1 Pa 3.12, 2 Np 3.17
Te  0.0675  0.3960  0.2026  1 Pa 3.12, 2 Np 3.17
Te  0.6040  0.9325  0.7974  1 Pa 3.12, 2 Np 3.17
Te  0.2608  0.2608  0.7973  1 Pa 3.12, 2 Np 3.17
Te  0.7392  0.7392  0.2027  1 Pa 3.12, 2 Np 3.17
Rb  0.5000  0.5000  0.5000  6 Te 3.66-3.70
Rb  0.8323  0.1677  0.5000  6 Te 3.66-3.69
Rb  0.1677  0.8323  0.5000  6 Te 3.66-3.69
Pa  0.0000  0.0000  0.0000  6 Te 3.12